Density functional theory data (PBE-GGA) for a geometry-optimized VZnTe3 structure.

a b c (Å): 5.2359 5.2359 5.2359
angles (deg): 90.00 90.00 90.00
Closest atoms and distances in Å follow each position.
Positions (direct):
V  0.0000  0.0000  0.0000  6 Te 2.62
Te  0.0000  0.0000  0.5000  2 V 2.62
Te  0.5000  0.0000  0.0000  2 V 2.62
Te  0.0000  0.5000  0.0000  2 V 2.62
Zn  0.5000  0.5000  0.5000  12 Te 3.70

Energy relative to the elements, uncorrected   1.35 eV per formula unit
Energy above the most stable polymorph in this dataset   0 meV per atom

***

Density functional theory data (PBE-GGA) for a geometry-optimized VZnTe2 structure.

a b c (Å): 8.8852 8.8852 8.8852
angles (deg): 25.35 25.35 25.35
Closest atoms and distances in Å follow each position.
Positions (direct):
V  0.0000  0.0000  0.0000  2 Te 2.64
Te  0.8975  0.8975  0.8975  1 V 2.64, 3 Zn 2.79
Te  0.1025  0.1025  0.1025  1 V 2.64, 3 Zn 2.79
Zn  0.5000  0.5000  0.5000  6 Te 2.79

Energy relative to the elements, uncorrected   1.59 eV per formula unit

***

Density functional theory data (PBE-GGA) for a geometry-optimized VZn3Te structure.

a b c (Å): 4.9932 4.9932 4.9932
angles (deg): 90.00 90.00 90.00
Closest atoms and distances in Å follow each position.
Positions (direct):
V  0.0000  0.0000  0.0000  6 Zn 2.50
Zn  0.5000  0.0000  0.0000  2 V 2.50
Zn  0.0000  0.0000  0.5000  2 V 2.50
Zn  0.0000  0.5000  0.0000  2 V 2.50
Te  0.5000  0.5000  0.5000  12 Zn 3.53

Energy relative to the elements, uncorrected   3.98 eV per formula unit
Energy above the most stable polymorph in this dataset   0 meV per atom

***

Density functional theory data (PBE-GGA) for a geometry-optimized V2ZnTe structure.

a b c (Å): 3.8414 3.8414 9.8740
angles (deg): 78.78 78.78 90.00
Closest atoms and distances in Å follow each position.
Positions (direct):
V  0.1516  0.6250  0.2500  4 V 2.58-2.86, 2 Zn 2.70, 2 Te 2.77
V  0.5984  0.1250  0.2500  4 V 2.58-2.86, 2 Zn 2.70, 2 Te 2.77
V  0.8750  0.8484  0.7500  4 V 2.58-2.86, 2 Zn 2.70, 2 Te 2.77
V  0.3750  0.4016  0.7500  4 V 2.58-2.86, 2 Zn 2.70, 2 Te 2.77
Zn  0.5000  0.5000  0.0000  4 V 2.70, 4 Te 2.72
Zn  0.2500  0.7500  0.5000  4 V 2.70, 4 Te 2.72
Te  0.7500  0.2500  0.5000  4 Zn 2.72, 4 V 2.77
Te  0.0000  0.0000  0.0000  4 Zn 2.72, 4 V 2.77

Energy relative to the elements, uncorrected   1.78 eV per formula unit
Energy above the most stable polymorph in this dataset   134 meV per atom